Computed, not measured: a geometry-optimized PrSm8Dy6 structure at the PBE level of DFT.

## Properties
Total energy = -204.6 eV/cell
Total moment = 0.00 Bohr magnetons per cell

Cell lengths 9.1203, 9.1203, 20.8463 Å; angles 90.00, 90.00, 120.00 degrees
Space group R-3 (No. 148, hexagonal axes)
Symmetry-distinct sites (fractional):
Pr 0.0000 0.0000 0.0000 [3 per cell]
Sm 0.0000 0.0000 0.4229 [6 per cell]
Sm 0.0805 0.5254 0.8072 [18 per cell]
Dy 0.0494 0.8063 0.7063 [18 per cell]

=====

Computed, not measured: a geometry-optimized Pr12Sm2Dy7 structure at the PBE level of DFT.

## Properties
Total energy = -98.1 eV/cell
Total moment = 0.00 Bohr magnetons per cell

Cell lengths 15.2278, 15.2278, 3.6081 Å; angles 90.00, 90.00, 120.00 degrees
Space group P-6 (No. 174)
Symmetry-distinct sites (fractional):
Pr 0.0513 0.7974 0.0000 [3 per cell]
Pr 0.1273 0.4157 0.5000 [3 per cell]
Pr 0.4139 0.2622 0.5000 [3 per cell]
Pr 0.4953 0.0970 0.0000 [3 per cell]
Sm 0.0000 0.0000 0.5000 [1 per cell]
Sm 0.3333 0.6667 0.0000 [1 per cell]
Dy 0.0991 0.6209 0.5000 [3 per cell]
Dy 0.2316 0.0450 0.0000 [3 per cell]
Dy 0.6667 0.3333 0.5000 [1 per cell]

=====

Computed, not measured: a geometry-optimized Pr2SmDy8 structure at the PBE level of DFT.

## Properties
Offset from the most stable computed form = 135.2 meV/atom
Total moment = 0.00 Bohr magnetons per cell

Cell lengths 9.074, 16.126, 5.938 Å; angles 90.00, 122.90, 90.00 degrees
Space group C2/m (No. 12)
Symmetry-distinct sites (fractional):
Pr 0.000 0.194 0.000 [4 per cell]
Sm 0.000 0.500 0.500 [2 per cell]
Dy 0.000 0.292 0.500 [4 per cell]
Dy 0.073 0.000 0.296 [4 per cell]
Dy 0.214 0.384 0.173 [8 per cell]